Computed, not measured: crystalline Re2SiO8 at its relaxed geometry at the GGA-PBE level of DFT.

Computed properties:
The density of states at the Fermi level comes out at 1.5 states/eV per cell. The formation energy without anion corrections is -1533 meV per atom.

abc: 5.962 5.962 5.027
angles: 91.00 91.00 69.35
Fractional positions:
Re: 0.193 0.193 0.412
Re: 0.807 0.807 0.588
Si: 0.000 0.000 0.000
O: 0.081 0.730 0.804
O: 0.143 0.143 0.752
O: 0.270 0.919 0.196
O: 0.364 0.364 0.352
O: 0.636 0.636 0.648
O: 0.730 0.081 0.804
O: 0.857 0.857 0.248
O: 0.919 0.270 0.196

---

Computed, not measured: crystalline Ba2MgGaHg at its relaxed geometry at the GGA-PBE level of DFT.

Computed properties:
The density of states at the Fermi level comes out at 5.7 states/eV per cell. The energy relative to the elements comes out at 0.17 eV per atom.

abc: 6.567 6.567 5.059
angles: 90.00 90.00 90.00
Fractional positions:
Ba: 0.000 0.500 0.000
Ba: 0.500 0.000 0.000
Mg: 0.000 0.000 0.000
Ga: 0.500 0.500 0.500
Hg: 0.000 0.000 0.500

---

Computed, not measured: crystalline Pa2Ni4P3Ir at its relaxed geometry at the GGA-PBE level of DFT.

Computed properties:
The density of states at the Fermi level comes out at 7.1 states/eV per cell. The energy relative to the elements comes out at -0.79 eV per atom.

abc: 3.821 3.821 10.080
angles: 90.00 90.00 90.00
Fractional positions:
Pa: 0.000 0.500 0.249
Pa: 0.500 0.000 0.751
Ni: 0.000 0.000 0.000
Ni: 0.000 0.500 0.662
Ni: 0.500 0.000 0.338
Ni: 0.500 0.500 0.000
P: 0.000 0.500 0.878
P: 0.500 0.000 0.122
P: 0.500 0.500 0.500
Ir: 0.000 0.000 0.500

---

Computed, not measured: crystalline CsTbGe2Cl8 at its relaxed geometry at the GGA-PBE level of DFT.

Computed properties:
The density of states at the Fermi level comes out at 0.0 states/eV per cell. The formation energy without anion corrections is -1489 meV per atom.

abc: 6.342 7.142 9.829
angles: 93.02 93.91 97.35
Fractional positions:
Cs: 0.000 0.000 0.000
Tb: 0.000 0.000 0.500
Ge: 0.450 0.569 0.302
Ge: 0.550 0.431 0.698
Cl: 0.209 0.697 0.456
Cl: 0.216 0.193 0.324
Cl: 0.267 0.608 0.100
Cl: 0.292 0.118 0.709
Cl: 0.708 0.882 0.291
Cl: 0.733 0.392 0.900
Cl: 0.784 0.807 0.676
Cl: 0.791 0.303 0.544

---

Computed, not measured: crystalline La4Pm3DyS8 at its relaxed geometry at the GGA-PBE level of DFT.

Computed properties:
The density of states at the Fermi level comes out at 8.6 states/eV per cell. The formation energy without anion corrections is -2096 meV per atom.

abc: 8.167 8.167 8.167
angles: 59.87 59.87 59.87
Fractional positions:
La: 0.000 0.000 0.000
La: 0.000 0.500 0.500
La: 0.500 0.000 0.500
La: 0.500 0.500 0.000
Pm: 0.000 0.000 0.500
Pm: 0.000 0.500 0.000
Pm: 0.500 0.000 0.000
Dy: 0.500 0.500 0.500
S: 0.247 0.247 0.247
S: 0.252 0.743 0.743
S: 0.257 0.257 0.748
S: 0.257 0.748 0.257
S: 0.743 0.252 0.743
S: 0.743 0.743 0.252
S: 0.748 0.257 0.257
S: 0.753 0.753 0.753

---

Computed, not measured: crystalline SrGaBiAu at its relaxed geometry at the GGA-PBE level of DFT.

Computed properties:
The density of states at the Fermi level comes out at 10.0 states/eV per cell. The energy relative to the elements comes out at -0.38 eV per atom.

abc: 7.517 7.517 7.517
angles: 90.00 90.00 90.00
Fractional positions:
Sr: 0.000 0.000 0.000
Sr: 0.000 0.500 0.500
Sr: 0.500 0.000 0.500
Sr: 0.500 0.500 0.000
Ga: 0.250 0.250 0.750
Ga: 0.250 0.750 0.250
Ga: 0.750 0.250 0.250
Ga: 0.750 0.750 0.750
Bi: 0.000 0.000 0.500
Bi: 0.000 0.500 0.000
Bi: 0.500 0.000 0.000
Bi: 0.500 0.500 0.500
Au: 0.250 0.250 0.250
Au: 0.250 0.750 0.750
Au: 0.750 0.250 0.750
Au: 0.750 0.750 0.250

---

Computed, not measured: crystalline Sm6Ge2SI3 at its relaxed geometry at the GGA-PBE level of DFT.

Computed properties:
The density of states at the Fermi level comes out at 5.0 states/eV per cell. The formation energy without anion corrections is -1168 meV per atom.

abc: 7.332 7.332 8.004
angles: 98.79 98.79 120.00
Fractional positions:
Sm: 0.064 0.391 0.192
Sm: 0.262 0.262 0.807
Sm: 0.391 0.064 0.192
Sm: 0.609 0.936 0.808
Sm: 0.738 0.738 0.193
Sm: 0.936 0.609 0.808
Ge: 0.334 0.666 0.000
Ge: 0.666 0.334 0.000
S: 0.000 0.000 0.000
I: 0.169 0.831 0.500
I: 0.500 0.500 0.500
I: 0.831 0.169 0.500

---

Computed, not measured: crystalline Pm8Co3HBr3 at its relaxed geometry at the GGA-PBE level of DFT.

Computed properties:
The density of states at the Fermi level comes out at 6.7 states/eV per cell. For the calculated total energy, the calculation gives -76.26 eV for the cell shown.

abc: 8.788 8.788 8.788
angles: 53.53 53.53 53.53
Fractional positions:
Pm: 0.226 0.735 0.735
Pm: 0.232 0.232 0.232
Pm: 0.265 0.265 0.774
Pm: 0.265 0.774 0.265
Pm: 0.735 0.226 0.735
Pm: 0.735 0.735 0.226
Pm: 0.768 0.768 0.768
Pm: 0.774 0.265 0.265
Co: 0.000 0.000 0.500
Co: 0.000 0.500 0.000
Co: 0.500 0.000 0.000
H: 0.500 0.500 0.500
Br: 0.000 0.500 0.500
Br: 0.500 0.000 0.500
Br: 0.500 0.500 0.000

---

Computed, not measured: crystalline ScMn at its relaxed geometry at the GGA-PBE level of DFT.

Computed properties:
The density of states at the Fermi level comes out at 21.4 states/eV per cell. The energy relative to the elements comes out at 1.74 eV per atom.

abc: 7.371 7.371 7.371
angles: 90.00 90.00 90.00
Fractional positions:
Sc: 0.000 0.250 0.500
Sc: 0.000 0.750 0.500
Sc: 0.250 0.500 0.000
Sc: 0.500 0.000 0.250
Sc: 0.500 0.000 0.750
Sc: 0.750 0.500 0.000
Mn: 0.000 0.500 0.250
Mn: 0.000 0.500 0.750
Mn: 0.250 0.000 0.500
Mn: 0.500 0.250 0.000
Mn: 0.500 0.750 0.000
Mn: 0.750 0.000 0.500

---

Computed, not measured: crystalline Sr2Mg5Tl5 at its relaxed geometry at the GGA-PBE level of DFT.

Computed properties:
The density of states at the Fermi level comes out at 6.3 states/eV per cell. The calculation puts the polymorph energy (0 for the lowest one) at 0.00 eV per formula unit. The energy relative to the elements comes out at -0.14 eV per atom.

abc: 4.947 6.297 11.201
angles: 90.00 90.00 90.00
Fractional positions:
Sr: 0.000 0.000 0.000
Sr: 0.000 0.500 0.500
Mg: 0.500 0.000 0.500
Mg: 0.500 0.249 0.251
Mg: 0.500 0.249 0.749
Mg: 0.500 0.751 0.251
Mg: 0.500 0.751 0.749
Tl: 0.000 0.000 0.336
Tl: 0.000 0.000 0.664
Tl: 0.000 0.500 0.189
Tl: 0.000 0.500 0.811
Tl: 0.500 0.500 0.000

---

Computed, not measured: crystalline CdBiSbI2 at its relaxed geometry at the GGA-PBE level of DFT.

Computed properties:
The density of states at the Fermi level comes out at 3.1 states/eV per cell. The calculation puts the polymorph energy (0 for the lowest one) at 0.00 eV per formula unit. The formation energy without anion corrections is 278 meV per atom.

abc: 6.213 6.213 6.145
angles: 90.00 90.00 90.00
Fractional positions:
Cd: 0.000 0.000 0.000
Bi: 0.500 0.500 0.500
Sb: 0.500 0.500 0.000
I: 0.000 0.500 0.500
I: 0.500 0.000 0.500

---

Computed, not measured: crystalline Li3RhCl6 at its relaxed geometry at the GGA-PBE level of DFT.

Computed properties:
The density of states at the Fermi level comes out at 0.0 states/eV per cell. The calculation puts the polymorph energy (0 for the lowest one) at 0.00 eV per formula unit. The formation energy without anion corrections is -1293 meV per atom.

abc: 7.462 7.462 7.462
angles: 90.62 90.62 90.62
Fractional positions:
Li: 0.064 0.738 0.595
Li: 0.262 0.405 0.936
Li: 0.405 0.936 0.262
Li: 0.595 0.064 0.738
Li: 0.738 0.595 0.064
Li: 0.936 0.262 0.405
Rh: 0.000 0.000 0.000
Rh: 0.500 0.500 0.500
Cl: 0.043 0.696 0.922
Cl: 0.078 0.957 0.304
Cl: 0.201 0.421 0.574
Cl: 0.304 0.078 0.957
Cl: 0.421 0.574 0.201
Cl: 0.426 0.799 0.579
Cl: 0.574 0.201 0.421
Cl: 0.579 0.426 0.799
Cl: 0.696 0.922 0.043
Cl: 0.799 0.579 0.426
Cl: 0.922 0.043 0.696
Cl: 0.957 0.304 0.078

---

Computed, not measured: crystalline LiCe4Dy3Se8 at its relaxed geometry at the GGA-PBE level of DFT.

Computed properties:
The density of states at the Fermi level comes out at 25.3 states/eV per cell. The formation energy without anion corrections is -1762 meV per atom.

abc: 8.316 8.316 8.316
angles: 59.27 59.27 59.27
Fractional positions:
Li: 0.000 0.000 0.000
Ce: 0.000 0.000 0.500
Ce: 0.000 0.500 0.000
Ce: 0.500 0.000 0.000
Ce: 0.500 0.500 0.500
Dy: 0.000 0.500 0.500
Dy: 0.500 0.000 0.500
Dy: 0.500 0.500 0.000
Se: 0.242 0.242 0.750
Se: 0.242 0.750 0.242
Se: 0.250 0.758 0.758
Se: 0.254 0.254 0.254
Se: 0.746 0.746 0.746
Se: 0.750 0.242 0.242
Se: 0.758 0.250 0.758
Se: 0.758 0.758 0.250

---

Computed, not measured: crystalline YTmTh2 at its relaxed geometry at the GGA-PBE level of DFT.

Computed properties:
The density of states at the Fermi level comes out at 5.9 states/eV per cell. The calculation puts the polymorph energy (0 for the lowest one) at 0.04 eV per formula unit. The energy relative to the elements comes out at 0.04 eV per atom.

abc: 5.019 5.019 5.051
angles: 90.00 90.00 90.00
Fractional positions:
Y: 0.000 0.000 0.000
Tm: 0.500 0.500 0.000
Th: 0.000 0.500 0.500
Th: 0.500 0.000 0.500

---

Computed, not measured: crystalline TmPa2PN6 at its relaxed geometry at the GGA-PBE level of DFT.

Computed properties:
The formation energy without anion corrections is -1022 meV per atom.

abc: 5.245 5.245 4.900
angles: 90.00 90.00 90.00
Fractional positions:
Tm: 0.000 0.000 0.000
Pa: 0.000 0.500 0.439
Pa: 0.500 0.000 0.439
P: 0.500 0.500 0.044
N: 0.000 0.000 0.553
N: 0.277 0.277 0.170
N: 0.277 0.723 0.170
N: 0.500 0.500 0.700
N: 0.723 0.277 0.170
N: 0.723 0.723 0.170

---

Computed, not measured: crystalline Ba5P at its relaxed geometry at the GGA-PBE level of DFT.

Computed properties:
The density of states at the Fermi level comes out at 6.1 states/eV per cell. The calculation puts the polymorph energy (0 for the lowest one) at 0.00 eV per formula unit. The energy relative to the elements comes out at -0.31 eV per atom.

abc: 4.136 4.136 17.879
angles: 90.00 90.00 90.00
Fractional positions:
Ba: 0.000 0.000 0.000
Ba: 0.000 0.000 0.406
Ba: 0.000 0.000 0.594
Ba: 0.500 0.500 0.194
Ba: 0.500 0.500 0.806
P: 0.500 0.500 0.500

---

Computed, not measured: crystalline AcPm2NbO8 at its relaxed geometry at the GGA-PBE level of DFT.

Computed properties:
The density of states at the Fermi level comes out at 0.0 states/eV per cell. The formation energy without anion corrections is -2784 meV per atom.

abc: 5.723 4.059 7.506
angles: 90.00 91.27 90.00
Fractional positions:
Ac: 0.000 0.000 0.000
Pm: 0.492 0.500 0.240
Pm: 0.508 0.500 0.760
Nb: 0.000 0.000 0.500
O: 0.101 0.500 0.439
O: 0.234 0.000 0.695
O: 0.264 0.500 0.993
O: 0.269 0.000 0.294
O: 0.731 0.000 0.706
O: 0.736 0.500 0.007
O: 0.766 0.000 0.305
O: 0.899 0.500 0.561

---

| no. | volume (A^3/atom) |
| --- | --- |
| 1 | 15.19 |
| 2 | 43.64 |
| 3 | 14.72 |
| 4 | 36.64 |
| 5 | 24.00 |
| 6 | 26.55 |
| 7 | 29.57 |
| 8 | 27.15 |
| 9 | 33.37 |
| 10 | 29.08 |
| 11 | 47.43 |
| 12 | 20.77 |
| 13 | 24.99 |
| 14 | 31.81 |
| 15 | 13.48 |
| 16 | 50.98 |
| 17 | 14.53 |